VASP calculation (PBE+U) on a relaxed structure of Dy4Cr6O19.

Results
The total energy comes out at -7.582 eV/atom. For the density of states at the Fermi level, the calculation gives 0.22 states/eV per atom. Its symmetry is I23.

abc: 7.444 7.444 7.444
angles: 109.47 109.47 109.47
Atoms (fractional coordinates):
Dy 0.000 0.000 0.320
Dy 0.000 0.320 0.000
Dy 0.320 0.000 0.000
Dy 0.680 0.680 0.680
Cr 0.164 0.500 0.664
Cr 0.336 0.836 0.500
Cr 0.500 0.336 0.836
Cr 0.500 0.664 0.164
Cr 0.664 0.164 0.500
Cr 0.836 0.500 0.336
O 0.000 0.000 0.000
O 0.000 0.350 0.350
O 0.000 0.650 0.650
O 0.029 0.673 0.273
O 0.243 0.644 0.971
O 0.273 0.029 0.673
O 0.327 0.356 0.599
O 0.350 0.000 0.350
O 0.350 0.350 0.000
O 0.356 0.599 0.327
O 0.401 0.757 0.727
O 0.599 0.327 0.356
O 0.644 0.971 0.243
O 0.650 0.000 0.650
O 0.650 0.650 0.000
O 0.673 0.273 0.029
O 0.727 0.401 0.757
O 0.757 0.727 0.401
O 0.971 0.243 0.644